Compound: SnPd7Au2
Source: the Alexandria database
Functional: GGA-PBE
Structure: relaxed

Structure (CIF):
```
data_SnPd7Au2
_symmetry_space_group_name_H-M 'P 1'
_symmetry_Int_Tables_number 1
_cell_length_a 4.344
_cell_length_b 7.629
_cell_length_c 7.629
_cell_angle_alpha 122.58
_cell_angle_beta 90.00
_cell_angle_gamma 90.00
loop_
_symmetry_equiv_pos_as_xyz
'x,y,z'
loop_
_atom_site_label
_atom_site_type_symbol
_atom_site_fract_x
_atom_site_fract_y
_atom_site_fract_z
_atom_site_occupancy
Sn1 Sn 0.000 0.000 0.000 1
Pd1 Pd 0.000 0.809 0.191 1
Pd2 Pd 0.000 0.191 0.809 1
Pd3 Pd 0.500 0.079 0.284 1
Pd4 Pd 0.500 0.921 0.716 1
Pd5 Pd 0.500 0.284 0.079 1
Pd6 Pd 0.500 0.716 0.921 1
Pd7 Pd 0.500 0.500 0.500 1
Au1 Au 0.500 0.700 0.300 1
Au2 Au 0.500 0.300 0.700 1
```

## Properties
- Crystal system: orthorhombic
- Calculated formation energy: 245 meV/atom
- Space-group type: No. 65